Entry 1:
# Zr3ScIn

An optimized crystal structure of Zr3ScIn (PBE, Alexandria).

The energy above the most stable polymorph in this dataset comes out at 2.57 eV per formula unit. The calculation puts the total DFT energy (no corrections) at -131.1 eV/cell. The energy relative to the elements comes out at 0.39 eV per atom. For the density of states at the Fermi level, the calculation gives 30.3 states/eV/cell. As for the crystal system: orthorhombic.

The structure belongs to space group Imma (No. 74); the cell edges are 5.7899, 7.8899 and 11.2619 Å and the angles 90.00°, 90.00° and 90.00°. The inequivalent atoms are Zr at (0.0000, 0.0709, 0.2401), Zr at (0.2500, 0.2500, 0.7500), Sc at (0.0000, 0.2500, 0.9962) and In at (0.0000, 0.0000, 0.5000).


Entry 2:
# Zr4ScIn2

An optimized crystal structure of Zr4ScIn2 (PBE, Alexandria).

The energy above the most stable polymorph in this dataset comes out at 2.78 eV per formula unit. The calculation puts the total DFT energy (no corrections) at -82.5 eV/cell. The energy relative to the elements comes out at 0.68 eV per atom. For the density of states at the Fermi level, the calculation gives 19.8 states/eV/cell. As for the crystal system: tetragonal.

The structure belongs to space group I4/mmm (No. 139); the cell edges are 4.7091, 4.7091 and 16.1009 Å and the angles 90.00°, 90.00° and 90.00°. The inequivalent atoms are Zr at (0.0000, 0.0000, 0.1856), Zr at (0.0000, 0.5000, 0.0000), Sc at (0.0000, 0.0000, 0.0000) and In at (0.0000, 0.0000, 0.3667).


Entry 3:
# Zr3ScIn

An optimized crystal structure of Zr3ScIn (PBE, Alexandria).

The energy above the most stable polymorph in this dataset comes out at 0.00 eV per formula unit. The calculation puts the total DFT energy (no corrections) at -141.4 eV/cell. The energy relative to the elements comes out at -0.13 eV per atom. For the density of states at the Fermi level, the calculation gives 25.8 states/eV/cell. As for the crystal system: orthorhombic.

The structure belongs to space group Cmcm (No. 63); the cell edges are 4.3569, 23.4862 and 4.4727 Å and the angles 90.00°, 90.00° and 90.00°. The inequivalent atoms are Zr at (0.0000, 0.0492, 0.2500), Zr at (0.0000, 0.1464, 0.7500), Zr at (0.0000, 0.3501, 0.7500), Sc at (0.0000, 0.2516, 0.2500) and In at (0.0000, 0.4488, 0.2500).